TaVIn2O PBE with a Hubbard U relaxed; DOS at the Fermi energy = 3.8 states/eV/f.u.; space-group type = P4/mmm; uncorrected energy = -5.67 eV/atom
1.0
4.683 0.000 0.000
0.000 4.683 0.000
0.000 0.000 4.054
Ta V In O
1 1 2 1
Cartesian
0.000 0.000 0.000 Ta
2.341 2.341 0.000 V
0.000 2.341 2.027 In
2.341 0.000 2.027 In
0.000 0.000 2.027 O